# NaLi2Hg3

A geometry-optimized NaLi2Hg3 structure (PBE, the Alexandria database).

The structure in extended XYZ format:
```
6
Lattice="3.3051 0.0000 0.0000 0.0000 3.3051 0.0000 0.0000 0.0000 11.5128" Properties=species:S:1:pos:R:3 pbc="T T T"
Na 0.0000 0.0000 0.0000
Li 0.0000 0.0000 4.0650
Li 0.0000 0.0000 7.4478
Hg 1.6525 1.6525 2.3314
Hg 1.6525 1.6525 5.7564
Hg 1.6525 1.6525 9.1814
```

Results
Calculated formation energy   -317 meV per atom
DOS at the Fermi energy   2.33 states/eV/cell
SG   P4/mmm

# Li4TmPb2

A geometry-optimized Li4TmPb2 structure (PBE, the Alexandria database).

The structure in extended XYZ format:
```
14
Lattice="7.9435 0.0000 0.0000 0.0000 7.9435 0.0000 0.0000 0.0000 4.6922" Properties=species:S:1:pos:R:3 pbc="T T T"
Li 0.8947 2.8672 0.0000
Li 1.1045 4.8665 2.3461
Li 2.8672 0.8947 0.0000
Li 3.0770 6.8390 2.3461
Li 4.8665 1.1045 2.3461
Li 5.0763 7.0488 0.0000
Li 6.8390 3.0770 2.3461
Li 7.0488 5.0763 0.0000
Tm 0.0000 0.0000 2.3461
Tm 3.9718 3.9718 0.0000
Pb 1.6403 6.3032 0.0000
Pb 2.3315 2.3315 2.3461
Pb 5.6121 5.6121 2.3461
Pb 6.3032 1.6403 0.0000
```

Results
ΔE to the lowest computed polymorph   0.0151 eV per atom
Calculated formation energy   -343 meV per atom
DOS at the Fermi energy   4.73 states/eV/cell
SG   P4_2/mnm

# ZnCo2Pt

A geometry-optimized ZnCo2Pt structure (PBE, the Alexandria database).

The structure in extended XYZ format:
```
4
Lattice="1.3417 0.7746 8.4008 -1.3417 0.7746 8.4008 0.0000 -1.5492 8.4008" Properties=species:S:1:pos:R:3 pbc="T T T"
Zn 0.0000 0.0000 0.0000
Co 0.0000 0.0000 6.3200
Co 0.0000 0.0000 12.8571
Pt 0.0000 0.0000 19.0598
```

Results
Calculated formation energy   -68 meV per atom
DOS at the Fermi energy   2.91 states/eV/cell
SG   R3m

# Ta2AuSe

A geometry-optimized Ta2AuSe structure (PBE, the Alexandria database).

The structure in extended XYZ format:
```
4
Lattice="4.1975 -1.5275 0.0000 4.1975 1.5275 0.0000 -1.1308 0.0000 5.7248" Properties=species:S:1:pos:R:3 pbc="T T T"
Ta 1.7979 0.0000 1.3217
Ta 5.4664 0.0000 4.4031
Au -0.5654 0.0000 2.8624
Se 4.1975 0.0000 0.0000
```

Results
Energy relative to the elements, uncorrected   0.126 eV per atom
DOS at the Fermi energy   3.59 states/eV/cell
SG   C2/m

# Nd6Ir2SeI3

A geometry-optimized Nd6Ir2SeI3 structure (PBE, the Alexandria database).

The structure in extended XYZ format:
```
12
Lattice="3.7287 -6.4542 0.0000 3.7287 6.4542 0.0000 -2.4780 0.0000 7.9770" Properties=species:S:1:pos:R:3 pbc="T T T"
Nd -0.0831 2.2977 6.4730
Nd 1.0737 0.0000 1.4972
Nd -0.0831 -2.2977 6.4730
Nd 5.0626 2.2977 1.5040
Nd 3.9058 0.0000 6.4799
Nd 5.0626 -2.2977 1.5040
Ir 3.7287 4.2976 0.0000
Ir 3.7287 -4.2976 0.0000
Se 3.7287 0.0000 0.0000
I -1.2390 0.0000 3.9885
I 2.4897 2.1007 3.9885
I 2.4897 -2.1007 3.9885
```

Results
Energy relative to the elements, uncorrected   -1.110 eV per atom
DOS at the Fermi energy   6.74 states/eV/cell
SG   C2/m

# AsBr5

A geometry-optimized AsBr5 structure (PBE, the Alexandria database).

The structure in extended XYZ format:
```
6
Lattice="5.4867 0.0000 0.0000 -2.7433 4.7516 0.0000 0.0000 0.0000 8.7260" Properties=species:S:1:pos:R:3 pbc="T T T"
As 0.0000 0.0000 0.0000
Br -1.3717 2.3758 4.3630
Br 0.0000 3.1677 0.0000
Br 2.7433 0.0000 4.3630
Br 1.3717 2.3758 4.3630
Br 2.7433 1.5839 0.0000
```

Results
Energy relative to the elements, uncorrected   0.416 eV per atom
DOS at the Fermi energy   4.76 states/eV/cell
SG   P6/mmm

# KInHg3

A geometry-optimized KInHg3 structure (PBE, the Alexandria database).

The structure in extended XYZ format:
```
5
Lattice="6.1445 0.0000 0.0000 0.0000 6.1445 0.0000 0.0000 0.0000 6.1445" Properties=species:S:1:pos:R:3 pbc="T T T"
K 0.0000 0.0000 0.0000
In 3.0722 3.0722 3.0722
Hg 0.0000 0.0000 3.0722
Hg 0.0000 3.0722 0.0000
Hg 3.0722 0.0000 0.0000
```

Results
ΔE to the lowest computed polymorph   0.5086 eV per atom
Calculated formation energy   344 meV per atom
DOS at the Fermi energy   6.36 states/eV/cell
SG   Pm-3m

# AcTbSi4

A geometry-optimized AcTbSi4 structure (PBE, the Alexandria database).

The structure in extended XYZ format:
```
24
Lattice="8.0047 0.0000 0.0000 0.0000 15.4826 0.0000 0.0000 0.0000 4.2699" Properties=species:S:1:pos:R:3 pbc="T T T"
Ac 1.0216 2.3333 0.0000
Ac 2.9807 10.0747 0.0000
Ac 5.0240 5.4080 0.0000
Ac 6.9831 13.1493 0.0000
Tb 1.0761 6.3704 0.0000
Tb 2.9263 14.1117 0.0000
Tb 5.0784 1.3709 0.0000
Tb 6.9286 9.1122 0.0000
Si 0.1203 10.7526 2.1349
Si 0.9605 14.7584 2.1349
Si 1.0140 8.4768 2.1349
Si 1.7097 12.4406 2.1349
Si 2.2927 4.6993 2.1349
Si 2.9884 0.7354 2.1349
Si 3.0418 7.0171 2.1349
Si 3.8820 3.0113 2.1349
Si 4.1227 12.4713 2.1349
Si 4.9629 8.4655 2.1349
Si 5.0163 14.7472 2.1349
Si 5.7120 10.7833 2.1349
Si 6.2950 3.0420 2.1349
Si 6.9908 7.0059 2.1349
Si 7.0442 0.7242 2.1349
Si 7.8844 4.7300 2.1349
```

Results
ΔE to the lowest computed polymorph   0.0000 eV per atom
Energy relative to the elements, uncorrected   -0.506 eV per atom
DOS at the Fermi energy   8.06 states/eV/cell
SG   Pbam

# Y2ZnCu

A geometry-optimized Y2ZnCu structure (PBE, the Alexandria database).

The structure in extended XYZ format:
```
4
Lattice="3.5288 0.0000 0.0000 0.0000 3.5288 0.0000 0.0000 0.0000 7.0748" Properties=species:S:1:pos:R:3 pbc="T T T"
Y 0.0000 0.0000 1.7243
Y 0.0000 0.0000 5.3504
Zn 1.7644 1.7644 3.5374
Cu 1.7644 1.7644 0.0000
```

Results
Calculated formation energy   -299 meV per atom
DOS at the Fermi energy   2.86 states/eV/cell
SG   P4/mmm

# La2ReW

A geometry-optimized La2ReW structure (PBE, the Alexandria database).

The structure in extended XYZ format:
```
4
Lattice="2.9787 0.0000 0.0000 0.0000 5.2343 0.0000 -1.0572 0.0000 5.5066" Properties=species:S:1:pos:R:3 pbc="T T T"
La 0.3000 0.0000 1.4306
La 1.6216 0.0000 4.0761
Re -0.5286 2.6172 2.7533
W 1.4894 2.6172 0.0000
```

Results
ΔE to the lowest computed polymorph   0.6261 eV per atom
Calculated formation energy   825 meV per atom
DOS at the Fermi energy   4.50 states/eV/cell
SG   P2/m

# Ti3BC

A geometry-optimized Ti3BC structure (PBE, the Alexandria database).

The structure in extended XYZ format:
```
10
Lattice="3.2039 0.0000 0.0000 0.0000 5.2227 0.0000 0.0000 0.0000 7.1684" Properties=species:S:1:pos:R:3 pbc="T T T"
Ti 0.8010 0.0494 1.1658
Ti 0.8010 1.3057 4.0140
Ti 0.8010 2.5620 1.1658
Ti 2.4029 2.6608 6.0026
Ti 2.4029 3.9171 3.1544
Ti 2.4029 5.1733 6.0026
B 0.8010 3.9171 4.6890
B 2.4029 1.3057 2.4794
C 0.8010 1.3057 6.3777
C 2.4029 3.9171 0.7908
```

Results
ΔE to the lowest computed polymorph   0.0000 eV per atom
Calculated formation energy   -492 meV per atom
DOS at the Fermi energy   7.16 states/eV/cell
SG   Pmmn

# BeHgPb3

A geometry-optimized BeHgPb3 structure (PBE, the Alexandria database).

The structure in extended XYZ format:
```
5
Lattice="5.1755 0.0000 0.0000 0.0000 5.1755 0.0000 0.0000 0.0000 5.1755" Properties=species:S:1:pos:R:3 pbc="T T T"
Be 0.0000 0.0000 0.0000
Hg 2.5877 2.5877 2.5877
Pb 0.0000 0.0000 2.5877
Pb 0.0000 2.5877 0.0000
Pb 2.5877 0.0000 0.0000
```

Results
ΔE to the lowest computed polymorph   0.0000 eV per atom
Calculated formation energy   327 meV per atom
DOS at the Fermi energy   1.45 states/eV/cell
SG   Pm-3m